The following is a DFT calculation (GGA-PBE) of a geometry-optimized SrInTc2I structure.

abc: 4.971 4.971 5.930
angles: 90.00 90.00 90.00
Space group P4/mmm (No. 123)
One atom of each set of equivalent atoms:
Sr 0.000 0.000 0.000 [1 per cell]
In 0.500 0.500 0.000 [1 per cell]
Tc 0.000 0.500 0.500 [2 per cell]
I 0.000 0.000 0.500 [1 per cell]

## Properties
magnetic moment = 2.302 μB/cell
V = 147 Å³ per cell
DFT total energy = -20.50 eV per cell